(1)
ZrSc2Rh | GGA-PBE | relaxed

Summary:
Calculated total energy   -7.392 eV/atom
SG   R3m, No. 160

Cell: 9.4777 9.4777 9.4777 Å, 19.79 19.79 19.79°
With the nearest neighbours (Å) after each atom.
Element x y z (fractional)
Rh  0.7497  0.7497  0.7497  3 Sc 2.68, 3 Zr 2.76
Sc  0.0146  0.0146  0.0146  3 Rh 2.68
Sc  0.2469  0.2469  0.2469  3 Zr 3.17, 9 Sc 3.26-3.39
Zr  0.4888  0.4888  0.4888  3 Rh 2.76

***

(2)
ZrSc2Rh | GGA-PBE | relaxed

Summary:
Calculated total energy   -7.400 eV/atom
SG   I4/mmm, No. 139

Cell: 5.7676 5.7676 5.7676 Å, 139.61 139.61 58.44°
With the nearest neighbours (Å) after each atom.
Element x y z (fractional)
Rh  0.7500  0.2500  0.5000  4 Zr 2.82
Sc  0.0000  0.0000  0.0000  4 Sc 2.82
Sc  0.5000  0.5000  0.0000  4 Sc 2.82
Zr  0.2500  0.7500  0.5000  4 Rh 2.82

***

(3)
ZrSc2Rh | GGA-PBE | relaxed

Summary:
Calculated total energy   -7.385 eV/atom
SG   I-4m2, No. 119

Cell: 5.7148 5.7148 5.7148 Å, 139.08 139.08 59.26°
With the nearest neighbours (Å) after each atom.
Element x y z (fractional)
Rh  0.7500  0.2500  0.5000  4 Sc 2.83
Sc  0.0000  0.0000  0.0000  4 Zr 2.83
Sc  0.2500  0.7500  0.5000  4 Rh 2.83
Zr  0.5000  0.5000  0.0000  4 Sc 2.83

***

Calculated total moment in order - 0.0 0.0 0.0 μB/f.u.
Calculated ΔE to the lowest computed polymorph in order - 0.230 0.223 0.238 eV per atom
Calculated ΔH_f (0 K) in order - -0.25 -0.26 -0.24 eV per atom